# 1
Computed, not measured: an optimized crystal structure of Sm4CdPdAu2 at the PBE level of DFT.

## Properties
* SG: R-3m
* mass density: 10104 kg/m3
* energy relative to the elements: -5.4 eV per formula unit
* E: -4.62 eV/atom

a = 9.0105 Å, b = 9.0105 Å, c = 9.0105 Å
α = 33.60°, β = 33.60°, γ = 33.60°
Element x y z (fractional)
Sm  0.1185  0.1185  0.1185
Sm  0.3697  0.3697  0.3697
Sm  0.6303  0.6303  0.6303
Sm  0.8815  0.8815  0.8815
Cd  0.5000  0.5000  0.5000
Pd  0.0000  0.0000  0.0000
Au  0.2412  0.2412  0.2412
Au  0.7588  0.7588  0.7588



# 2
Computed, not measured: an optimized crystal structure of BaTaTe at the PBE level of DFT.

## Properties
* formation energy without anion corrections: 0.245 eV per atom
* excess energy over the best structure of this formula in the dataset: 1.81 eV per formula unit
* SG: P3m1
* mass density: 8255 kg/m3
* E: -5.39 eV/atom

a = 3.6880 Å, b = 3.6880 Å, c = 7.6147 Å
α = 90.00°, β = 90.00°, γ = 120.00°
Element x y z (fractional)
Ba  0.0000  0.0000  0.0000
Ta  0.6667  0.3333  0.3670
Te  0.3333  0.6667  0.6058



> What is the E in the first record?

-4.62 eV/atom



> What is the E in the first record?

-4.62 eV/atom



What did the second record say?
Computed, not measured: an optimized crystal structure of BaTaTe at the PBE level of DFT.

## Properties
* formation energy without anion corrections: 0.245 eV per atom
* excess energy over the best structure of this formula in the dataset: 1.81 eV per formula unit
* SG: P3m1
* mass density: 8255 kg/m3
* E: -5.39 eV/atom

a = 3.6880 Å, b = 3.6880 Å, c = 7.6147 Å
α = 90.00°, β = 90.00°, γ = 120.00°
Element x y z (fractional)
Ba  0.0000  0.0000  0.0000
Ta  0.6667  0.3333  0.3670
Te  0.3333  0.6667  0.6058



Repeat the second record exactly.
Computed, not measured: an optimized crystal structure of BaTaTe at the PBE level of DFT.

## Properties
* formation energy without anion corrections: 0.245 eV per atom
* excess energy over the best structure of this formula in the dataset: 1.81 eV per formula unit
* SG: P3m1
* mass density: 8255 kg/m3
* E: -5.39 eV/atom

a = 3.6880 Å, b = 3.6880 Å, c = 7.6147 Å
α = 90.00°, β = 90.00°, γ = 120.00°
Element x y z (fractional)
Ba  0.0000  0.0000  0.0000
Ta  0.6667  0.3333  0.3670
Te  0.3333  0.6667  0.6058